# 1
Compound: NaV2O5
Source: Alexandria via LeMat-Bulk
Functional: GGA+U
Structure: optimized geometry

The space group is Pmn2_1 (No. 31) and the conventional cell measures 3.7014, 6.4156 and 10.3540 Å, with angles of 90.00, 90.00 and 90.00 degrees. The distinct sites, in fractional coordinates, are Na at (0.0000, 0.1325, 0.0000), V at (0.0000, 0.3090, 0.4357), V at (0.0000, 0.5436, 0.7206), O at (0.0000, 0.0532, 0.4086), O at (0.0000, 0.3247, 0.6234), O at (0.0000, 0.4621, 0.2690), O at (0.0000, 0.5877, 0.9150) and O at (0.0000, 0.7483, 0.6223).

As for the energy above the most stable polymorph in this dataset: 0.043 eV/atom. As for the volume: 246 Å³/cell.



# 2
Compound: NaVO2
Source: Alexandria via LeMat-Bulk
Functional: GGA+U
Structure: optimized geometry

The space group is R-3m (No. 166, hexagonal axes) and the conventional cell measures 3.4075, 3.4075 and 18.9133 Å, with angles of 90.00, 90.00 and 120.00 degrees. The distinct sites, in fractional coordinates, are Na at (0.0000, 0.0000, 0.0000), V at (0.0000, 0.0000, 0.5000) and O at (0.0000, 0.0000, 0.4078).

The electronic total energy is -5.79 eV/atom. As for the density of states at the Fermi level: 5.1 states/eV/cell. As for the volume: 190 Å³/cell.



# 3
Compound: NaVO3
Source: Alexandria via LeMat-Bulk
Functional: GGA+U
Structure: optimized geometry

The space group is Ibam (No. 72) and the conventional cell measures 10.4805, 10.6095 and 6.1458 Å, with angles of 90.00, 90.00 and 90.00 degrees. The distinct sites, in fractional coordinates, are Na at (0.0000, 0.1852, 0.2500), V at (0.2046, 0.4202, 0.0000), O at (0.1325, 0.2786, 0.0000), O at (0.1357, 0.0974, 0.5000) and O at (0.1585, 0.5000, 0.2500).

The electronic total energy is -6.66 eV/atom. As for the density of states at the Fermi level: 0.0 states/eV/cell. As for the volume: 683 Å³/cell.



# 4
Compound: NaV2O5
Source: Alexandria via LeMat-Bulk
Functional: GGA+U
Structure: optimized geometry

The space group is Pnma (No. 62) and the conventional cell measures 9.9341, 3.6552 and 12.2958 Å, with angles of 90.00, 90.00 and 90.00 degrees. The distinct sites, in fractional coordinates, are Na at (0.1580, 0.2500, 0.2318), V at (0.0681, 0.2500, 0.5882), V at (0.1232, 0.7500, 0.9986), O at (0.0147, 0.7500, 0.2958), O at (0.0563, 0.7500, 0.5415), O at (0.0696, 0.2500, 0.0448), O at (0.2185, 0.7500, 0.8887) and O at (0.2399, 0.2500, 0.6198).

As for the energy above the most stable polymorph in this dataset: 0.000 eV/atom. As for the volume: 446 Å³/cell.



# 5
Compound: NaVO3
Source: Alexandria via LeMat-Bulk
Functional: GGA+U
Structure: optimized geometry

The space group is Pnma (No. 62) and the conventional cell measures 14.6210, 3.6586 and 5.5186 Å, with angles of 90.00, 90.00 and 90.00 degrees. The distinct sites, in fractional coordinates, are Na at (0.1760, 0.2500, 0.0979), V at (0.0858, 0.7500, 0.5630), O at (0.0515, 0.2500, 0.5000), O at (0.1169, 0.7500, 0.8538) and O at (0.1817, 0.7500, 0.3903).

The electronic total energy is -6.69 eV/atom. As for the density of states at the Fermi level: 0.0 states/eV/cell. As for the volume: 295 Å³/cell.



# 6
Compound: NaVO3
Source: Alexandria via LeMat-Bulk
Functional: GGA+U
Structure: optimized geometry

The space group is Pm-3m (No. 221) and the conventional cell measures 3.7752, 3.7752 and 3.7752 Å, with angles of 90.00, 90.00 and 90.00 degrees. The distinct sites, in fractional coordinates, are Na at (0.0000, 0.0000, 0.0000), V at (0.5000, 0.5000, 0.5000) and O at (0.0000, 0.5000, 0.5000).

The electronic total energy is -6.55 eV/atom. As for the density of states at the Fermi level: 0.6 states/eV/cell. As for the volume: 54 Å³/cell.



# 7
Compound: NaV3O8
Source: Alexandria via LeMat-Bulk
Functional: GGA+U
Structure: optimized geometry

The space group is P2_1/m (No. 11) and the conventional cell measures 5.2045, 8.8820 and 7.7678 Å, with angles of 90.00, 109.39 and 90.00 degrees. The distinct sites, in fractional coordinates, are Na at (0.0247, 0.2500, 0.0541), V at (0.1926, 0.0613, 0.6907), V at (0.3785, 0.7500, 0.4500), O at (0.1137, 0.2500, 0.7725), O at (0.1599, 0.5944, 0.5006), O at (0.1911, 0.5472, 0.8604), O at (0.3552, 0.2500, 0.3663) and O at (0.4694, 0.6085, 0.2943).

The electronic total energy is -7.14 eV/atom. As for the density of states at the Fermi level: 0.0 states/eV/cell. As for the volume: 339 Å³/cell.



# 8
Compound: Na2VO
Source: Alexandria via LeMat-Bulk
Functional: GGA+U
Structure: optimized geometry

The space group is I-42d (No. 122) and the conventional cell measures 10.1141, 10.1141 and 3.7748 Å, with angles of 90.00, 90.00 and 90.00 degrees. The distinct sites, in fractional coordinates, are Na at (0.0924, 0.2500, 0.1250), V at (0.0000, 0.0000, 0.5000) and O at (0.0000, 0.0000, 0.0000).

As for the density of states at the Fermi level: 4.8 states/eV/cell. As for the energy above the most stable polymorph in this dataset: 0.000 eV/atom. As for the volume: 386 Å³/cell.